## Ge2SbTe (PBE-GGA)

Data for a relaxed structure of Ge2SbTe. Values from VASP.

Results
energy relative to the lowest polymorph listed for this composition: 7 kJ/mol of formula units
DOS(E_F): 2.02 states/eV/cell
magnetic moment: 0.00 μB per formula unit

```
&SYSTEM
  ibrav = 0, nat = 4, ntyp = 3
/
ATOMIC_SPECIES
Ge 72.64 Ge.upf
Sb 121.76 Sb.upf
Te 127.60 Te.upf
CELL_PARAMETERS angstrom
2.017 1.165 7.934
-2.017 1.165 7.934
0.000 -2.329 7.934
ATOMIC_POSITIONS crystal
Ge 0.000 0.000 0.000
Ge 0.182 0.182 0.182
Sb 0.607 0.607 0.607
Te 0.782 0.782 0.782
```

## GeSbTe2 (PBE-GGA)

Data for a relaxed structure of GeSbTe2. Values from VASP.

Results
energy relative to the lowest polymorph listed for this composition: 85 kJ/mol of formula units
DOS(E_F): 1.89 states/eV/cell
magnetic moment: 0.00 μB per formula unit

```
&SYSTEM
  ibrav = 0, nat = 4, ntyp = 3
/
ATOMIC_SPECIES
Ge 72.64 Ge.upf
Sb 121.76 Sb.upf
Te 127.60 Te.upf
CELL_PARAMETERS angstrom
0.000 3.753 3.753
3.753 0.000 3.753
3.753 3.753 0.000
ATOMIC_POSITIONS crystal
Ge 0.000 0.000 0.000
Sb 0.500 0.500 0.500
Te 0.250 0.250 0.250
Te 0.750 0.750 0.750
```

## GeSbTe2 (PBE-GGA)

Data for a relaxed structure of GeSbTe2. Values from VASP.

Results
energy relative to the lowest polymorph listed for this composition: 75 kJ/mol of formula units
DOS(E_F): 3.72 states/eV/cell
magnetic moment: 0.00 μB per formula unit

```
&SYSTEM
  ibrav = 0, nat = 8, ntyp = 3
/
ATOMIC_SPECIES
Ge 72.64 Ge.upf
Sb 121.76 Sb.upf
Te 127.60 Te.upf
CELL_PARAMETERS angstrom
-3.954 3.954 4.006
3.954 -3.954 4.006
3.954 3.954 -4.006
ATOMIC_POSITIONS crystal
Ge 0.000 0.000 0.000
Ge 0.750 0.250 0.500
Sb 0.250 0.750 0.500
Sb 0.500 0.500 0.000
Te 0.109 0.625 0.984
Te 0.375 0.359 0.484
Te 0.641 0.125 0.016
Te 0.875 0.891 0.516
```